# CdFeSb

A relaxed structure of CdFeSb (GGA-PBE, Alexandria via LeMat-Bulk).

Computed properties:
SG ... I4mm
Density of states at the Fermi level ... 2.8 states/eV/f.u.
E ... -4.209 eV per atom
Volume ... 60.6 Å³/f.u.
Total moment ... 1.4 Bohr magnetons per cell
Mass density ... 7.943 g/cm³

a b c (Å): 6.539 6.539 6.539
angles (deg): 152.22 152.22 39.70
Fractional coordinates of all 3 atoms:
Cd 0.000 0.000 0.000
Fe 0.642 0.642 0.000
Sb 0.263 0.263 0.000

=====

# CdFeSb2

A relaxed structure of CdFeSb2 (GGA-PBE, Alexandria via LeMat-Bulk).

Computed properties:
SG ... R3m
Density of states at the Fermi level ... 3.8 states/eV/f.u.
E ... -4.078 eV per atom
Volume ... 89.3 Å³/f.u.
Total moment ... 2.0 Bohr magnetons per cell
Mass density ... 7.658 g/cm³

a b c (Å): 9.370 9.370 9.370
angles (deg): 20.62 20.62 20.62
Fractional coordinates of all 4 atoms:
Cd 0.000 0.000 0.000
Fe 0.260 0.260 0.260
Sb 0.532 0.532 0.532
Sb 0.764 0.764 0.764

=====

# CdFeSb2

A relaxed structure of CdFeSb2 (GGA-PBE, Alexandria via LeMat-Bulk).

Computed properties:
SG ... Immm
Density of states at the Fermi level ... 1.8 states/eV/f.u.
E ... -4.257 eV per atom
Volume ... 93.3 Å³/f.u.
Total moment ... 1.9 Bohr magnetons per cell
Mass density ... 7.329 g/cm³

a b c (Å): 6.918 6.918 6.918
angles (deg): 153.84 140.09 48.34
Fractional coordinates of all 4 atoms:
Cd 0.000 0.000 0.000
Fe 0.500 0.500 0.000
Sb 0.334 0.834 0.500
Sb 0.666 0.166 0.500

=====

For reference, E_form (uncorrected) by record: 0.291 0.328 0.149 eV/atom.